No. 1
The following is a PBE calculation of crystalline AlTl2VW at its relaxed geometry, from Alexandria via LeMat-Bulk.

Cell lengths 5.143, 4.817, 5.143 Å; angles 90.00, 90.00, 90.00 degrees
Atoms (fractional coordinates):
1 Tl 0.000 0.000 0.500
2 Tl 0.500 0.000 0.000
3 Al 0.000 0.000 0.000
4 W 0.500 0.500 0.500
5 V 0.000 0.500 0.000

Computed properties:
mass density: 8.740 g/cm³
electronic total energy: -4.265 eV per atom
formation enthalpy at 0 K: 1844 meV/atom
space group: P4/mmm (123)


No. 2
The following is a PBE calculation of crystalline KSbOs2 at its relaxed geometry, from Alexandria via LeMat-Bulk.

Cell lengths 5.728, 5.728, 2.682 Å; angles 90.00, 90.00, 116.55 degrees
Atoms (fractional coordinates):
1 K 0.000 0.500 0.500
2 Os 0.000 0.000 0.000
3 Os 0.500 0.500 0.000
4 Sb 0.500 0.000 0.500

Computed properties:
mass density: 11.420 g/cm³
electronic total energy: -5.413 eV per atom
space group: Cmmm (65)
formation energy (no corrections): 1.507 eV/atom


No. 3
The following is a PBE calculation of crystalline K11Rb at its relaxed geometry, from Alexandria via LeMat-Bulk.

Cell lengths 11.770, 13.890, 13.890 Å; angles 79.66, 64.93, 64.93 degrees
Atoms (fractional coordinates):
1 K 0.426 0.822 0.420
2 K 0.669 0.178 0.580
3 K 0.000 0.000 0.000
4 K 0.750 0.500 0.500
5 K 0.375 0.750 0.750
6 K 0.875 0.750 0.250
7 K 0.875 0.250 0.750
8 K 0.875 0.250 0.250
9 K 0.426 0.420 0.822
10 K 0.999 0.678 0.920
11 K 0.596 0.322 0.080
12 K 0.669 0.580 0.178
13 K 0.751 0.580 0.822
14 K 0.154 0.420 0.178
15 K 0.081 0.322 0.920
16 K 0.324 0.678 0.080
17 K 0.324 0.080 0.678
18 K 0.751 0.822 0.580
19 K 0.154 0.178 0.420
20 K 0.081 0.920 0.322
21 K 0.999 0.920 0.678
22 K 0.596 0.080 0.322
23 Rb 0.500 0.000 0.000
24 Rb 0.250 0.500 0.500

Computed properties:
mass density: 0.919 g/cm³
electronic total energy: -1.049 eV per atom
formation enthalpy at 0 K: 38 meV/atom
space group: I4_1/amd (141)


No. 4
The following is a PBE calculation of crystalline GeN2ClF at its relaxed geometry, from Alexandria via LeMat-Bulk.

Cell lengths 3.588, 3.588, 5.008 Å; angles 90.00, 90.00, 90.00 degrees
Atoms (fractional coordinates):
1 N 0.000 0.500 0.000
2 N 0.500 0.000 0.000
3 Ge 0.500 0.500 0.500
4 F 0.000 0.000 0.500
5 Cl 0.000 0.000 0.000

Computed properties:
mass density: 3.996 g/cm³
electronic total energy: -3.455 eV per atom
space group: P4/mmm (123)
formation energy (no corrections): 1.543 eV/atom


> Which value of electronic total energy does entry 2 give?

-5.413 eV per atom


> electronic total energy of number 4 (GeN2ClF)?

-3.455 eV per atom


> Among the records above, which one has the lowest mass density?

K11Rb